Entry 1:
InReAg2: optimized geometry, PBE.

The structure in CIF format:
```
data_InReAg2
_space_group_name_H-M_alt 'P m m 2'
_space_group_IT_number 25
_space_group_name_Hall 'P 2 -2'
_cell_length_a 2.822
_cell_length_b 4.260
_cell_length_c 5.934
_cell_angle_alpha 90.00
_cell_angle_beta 90.00
_cell_angle_gamma 90.00
loop_
_atom_site_label
_atom_site_type_symbol
_atom_site_fract_x
_atom_site_fract_y
_atom_site_fract_z
In1 In 0.000 0.000 0.000
Re1 Re 0.500 0.500 0.226
Ag1 Ag 0.000 0.000 0.482
Ag2 Ag 0.500 0.500 0.718
```

Computed properties:
The calculation puts the calculated volume at 17.84 Å³/atom. The formation energy comes out at 542 meV per atom. The value obtained for the density of states at the Fermi level is 3.32 states/eV/f.u. For the total energy, the calculation gives -18.72 eV/cell.

---

Entry 2:
KBa4Pb: optimized geometry, PBE.

The structure in CIF format:
```
data_KBa4Pb
_space_group_name_H-M_alt 'F -4 3 m'
_space_group_IT_number 216
_space_group_name_Hall 'F -4 2 3'
_cell_length_a 10.885
_cell_length_b 10.885
_cell_length_c 10.885
_cell_angle_alpha 90.00
_cell_angle_beta 90.00
_cell_angle_gamma 90.00
loop_
_atom_site_label
_atom_site_type_symbol
_atom_site_fract_x
_atom_site_fract_y
_atom_site_fract_z
K1 K 0.000 0.000 0.000
Ba1 Ba 0.123 0.123 0.377
Pb1 Pb 0.250 0.250 0.750
```

Computed properties:
The calculation puts the calculated volume at 53.73 Å³/atom. The formation energy comes out at 207 meV per atom. The value obtained for the density of states at the Fermi level is 10.17 states/eV/f.u. For the total energy, the calculation gives -45.01 eV/cell.

---

Entry 3:
CdHgAsBr2: optimized geometry, PBE.

The structure in CIF format:
```
data_CdHgAsBr2
_space_group_name_H-M_alt 'P 4/m m m'
_space_group_IT_number 123
_space_group_name_Hall '-P 4 2'
_cell_length_a 5.464
_cell_length_b 5.464
_cell_length_c 5.546
_cell_angle_alpha 90.00
_cell_angle_beta 90.00
_cell_angle_gamma 90.00
loop_
_atom_site_label
_atom_site_type_symbol
_atom_site_fract_x
_atom_site_fract_y
_atom_site_fract_z
Cd1 Cd 0.000 0.000 0.000
Hg1 Hg 0.500 0.500 0.500
As1 As 0.000 0.000 0.500
Br1 Br 0.000 0.500 0.000
```

Computed properties:
The calculation puts the calculated volume at 33.11 Å³/atom. The value obtained for the density of states at the Fermi level is 2.81 states/eV/f.u. For the total energy, the calculation gives -8.47 eV/cell. As for the energy above the most stable polymorph in this dataset: 0.000 eV/atom.

---

Entry 4:
PbSe2NO: optimized geometry, PBE.

The structure in CIF format:
```
data_PbSe2NO
_space_group_name_H-M_alt 'P 4/m m m'
_space_group_IT_number 123
_space_group_name_Hall '-P 4 2'
_cell_length_a 5.586
_cell_length_b 5.586
_cell_length_c 4.636
_cell_angle_alpha 90.00
_cell_angle_beta 90.00
_cell_angle_gamma 90.00
loop_
_atom_site_label
_atom_site_type_symbol
_atom_site_fract_x
_atom_site_fract_y
_atom_site_fract_z
Pb1 Pb 0.000 0.000 0.000
Se1 Se 0.000 0.500 0.000
N1 N 0.000 0.000 0.500
O1 O 0.500 0.500 0.500
```

Computed properties:
The calculation puts the calculated volume at 28.93 Å³/atom. The value obtained for the density of states at the Fermi level is 15.91 states/eV/f.u. For the total energy, the calculation gives -14.16 eV/cell. As for the energy above the most stable polymorph in this dataset: 1.036 eV/atom.

---

Number 2 is which compound?
KBa4Pb

---

The highest calculated volume belongs to which entry?
KBa4Pb